Record 1
Compound: CrAu2Br
Source: Alexandria via LeMat-Bulk
Functional: PBE
Structure: relaxed

a = 6.833 Å, b = 6.833 Å, c = 6.833 Å
α = 90.00°, β = 90.00°, γ = 90.00°
Space group Fm-3m (No. 225)
Asymmetric unit:
Cr (0.000, 0.000, 0.000) x4
Au (0.250, 0.250, 0.250) x8
Br (0.000, 0.000, 0.500) x4

Computed properties:
polymorph energy (0 for the lowest one) = 459 meV/atom

Record 2
Compound: CrAu2Br
Source: Alexandria via LeMat-Bulk
Functional: PBE
Structure: relaxed

a = 3.113 Å, b = 4.587 Å, c = 12.907 Å
α = 90.00°, β = 90.00°, γ = 90.00°
Space group Imm2 (No. 44)
Asymmetric unit:
Cr (0.000, 0.000, 0.000) x2
Au (0.000, 0.000, 0.555) x2
Au (0.000, 0.500, 0.675) x2
Br (0.000, 0.500, 0.350) x2

Computed properties:
polymorph energy (0 for the lowest one) = 55 meV/atom

Record 3
Compound: Cr3AuBr
Source: Alexandria via LeMat-Bulk
Functional: PBE
Structure: relaxed

a = 4.349 Å, b = 4.349 Å, c = 4.349 Å
α = 90.00°, β = 90.00°, γ = 90.00°
Space group Pm-3m (No. 221)
Asymmetric unit:
Cr (0.000, 0.000, 0.500) x3
Au (0.500, 0.500, 0.500) x1
Br (0.000, 0.000, 0.000) x1

Computed properties:
polymorph energy (0 for the lowest one) = 303 meV/atom

Record 4
Compound: Cr2AuBr
Source: Alexandria via LeMat-Bulk
Functional: PBE
Structure: relaxed

a = 3.406 Å, b = 6.043 Å, c = 8.317 Å
α = 90.00°, β = 90.00°, γ = 90.00°
Space group Immm (No. 71)
Asymmetric unit:
Cr (0.000, 0.000, 0.245) x4
Au (0.000, 0.500, 0.000) x2
Br (0.000, 0.500, 0.500) x2

Computed properties:
polymorph energy (0 for the lowest one) = 317 meV/atom

Record 5
Compound: CrAuBr4
Source: Alexandria via LeMat-Bulk
Functional: PBE
Structure: relaxed

a = 8.728 Å, b = 8.728 Å, c = 8.728 Å
α = 90.00°, β = 90.00°, γ = 90.00°
Space group F-43m (No. 216)
Asymmetric unit:
Cr (0.000, 0.000, 0.000) x4
Au (0.250, 0.250, 0.750) x4
Br (0.124, 0.124, 0.376) x16

Record 6
Compound: Cr2AuBr
Source: Alexandria via LeMat-Bulk
Functional: PBE
Structure: relaxed

a = 3.343 Å, b = 3.897 Å, c = 13.138 Å
α = 90.00°, β = 90.00°, γ = 90.00°
Space group Imm2 (No. 44)
Asymmetric unit:
Cr (0.000, 0.000, 0.000) x2
Cr (0.000, 0.500, 0.282) x2
Au (0.000, 0.500, 0.857) x2
Br (0.000, 0.000, 0.614) x2

Computed properties:
polymorph energy (0 for the lowest one) = 158 meV/atom

Record 7
Compound: CrAu2Br
Source: Alexandria via LeMat-Bulk
Functional: PBE
Structure: relaxed

a = 3.146 Å, b = 4.432 Å, c = 11.667 Å
α = 90.00°, β = 90.00°, γ = 90.00°
Space group Immm (No. 71)
Asymmetric unit:
Cr (0.000, 0.000, 0.000) x2
Au (0.000, 0.500, 0.287) x4
Br (0.000, 0.000, 0.500) x2

Computed properties:
polymorph energy (0 for the lowest one) = 138 meV/atom

Record 8
Compound: CrAu3Br
Source: Alexandria via LeMat-Bulk
Functional: PBE
Structure: relaxed

a = 5.145 Å, b = 5.145 Å, c = 5.145 Å
α = 90.00°, β = 90.00°, γ = 90.00°
Space group Pm-3m (No. 221)
Asymmetric unit:
Cr (0.000, 0.000, 0.000) x1
Au (0.000, 0.500, 0.500) x3
Br (0.500, 0.500, 0.500) x1

Computed properties:
polymorph energy (0 for the lowest one) = 128 meV/atom

One value per record, in order, for raw formation energy: 519 115 1375 556 910 397 199 1205 meV per atom.
One value per record, in order, for volume: 319 184 82 171 665 171 163 136 Å³ per cell.